# ScFe2Hg

A relaxed ScFe2Hg crystal (GGA-PBE, Alexandria via LeMat-Bulk).

a = 8.577 Å, b = 8.577 Å, c = 8.577 Å
α = 20.73°, β = 20.73°, γ = 20.73°
Atoms (fractional coordinates):
Sc 0.000 0.000 0.000
Fe 0.477 0.477 0.477
Fe 0.746 0.746 0.746
Hg 0.233 0.233 0.233

Properties
DFT formation energy	0.92	eV per formula unit
spin magnetization	1.1220	μB per atom
DFT total energy	-22.6	eV per cell